# 1
This record from the Alexandria database describes crystalline CaPm4Sm at its relaxed geometry. The functional is GGA-PBE.

```
data_CaPm4Sm
_symmetry_space_group_name_H-M 'I m m 2'
_symmetry_Int_Tables_number 44
_symmetry_space_group_name_Hall 'I 2 -2'
_cell_length_a 3.574
_cell_length_b 6.634
_cell_length_c 18.088
_cell_angle_alpha 90.00
_cell_angle_beta 90.00
_cell_angle_gamma 90.00
loop_
_atom_site_label
_atom_site_fract_x
_atom_site_fract_y
_atom_site_fract_z
Ca1 0.000 0.000 0.000
Pm1 0.000 0.000 0.509
Pm2 0.000 0.241 0.336
Pm3 0.000 0.500 0.172
Sm1 0.000 0.500 0.683
```

Results
DFT total energy ... -24.61 eV/f.u.
Offset from the most stable computed form ... 13.5 kJ/mol of atoms

---

# 2
This record from the Alexandria database describes crystalline CaPm12Sm3 at its relaxed geometry. The functional is GGA-PBE.

```
data_CaPm12Sm3
_symmetry_space_group_name_H-M 'P 4/m m m'
_symmetry_Int_Tables_number 123
_symmetry_space_group_name_Hall '-P 4 2'
_cell_length_a 5.175
_cell_length_b 5.175
_cell_length_c 20.670
_cell_angle_alpha 90.00
_cell_angle_beta 90.00
_cell_angle_gamma 90.00
loop_
_atom_site_label
_atom_site_fract_x
_atom_site_fract_y
_atom_site_fract_z
Ca1 0.000 0.000 0.000
Pm1 0.000 0.500 0.129
Pm2 0.000 0.500 0.376
Pm3 0.500 0.500 0.000
Pm4 0.500 0.500 0.250
Pm5 0.500 0.500 0.500
Sm1 0.000 0.000 0.251
Sm2 0.000 0.000 0.500
```

Results
DFT total energy ... -72.69 eV/f.u.

---

# 3
This record from the Alexandria database describes crystalline CaPm6Sm at its relaxed geometry. The functional is GGA-PBE.

```
data_CaPm6Sm
_symmetry_space_group_name_H-M 'P 4/m m m'
_symmetry_Int_Tables_number 123
_symmetry_space_group_name_Hall '-P 4 2'
_cell_length_a 5.192
_cell_length_b 5.192
_cell_length_c 10.359
_cell_angle_alpha 90.00
_cell_angle_beta 90.00
_cell_angle_gamma 90.00
loop_
_atom_site_label
_atom_site_fract_x
_atom_site_fract_y
_atom_site_fract_z
Ca1 0.000 0.000 0.000
Pm1 0.000 0.500 0.256
Pm2 0.500 0.500 0.000
Pm3 0.500 0.500 0.500
Sm1 0.000 0.000 0.500
```

Results
DFT total energy ... -34.85 eV/f.u.

---

# 4
This record from the Alexandria database describes crystalline CaPm4Sm at its relaxed geometry. The functional is GGA-PBE.

```
data_CaPm4Sm
_symmetry_space_group_name_H-M 'F -4 3 m'
_symmetry_Int_Tables_number 216
_symmetry_space_group_name_Hall 'F -4 2 3'
_cell_length_a 9.604
_cell_length_b 9.604
_cell_length_c 9.604
_cell_angle_alpha 90.00
_cell_angle_beta 90.00
_cell_angle_gamma 90.00
loop_
_atom_site_label
_atom_site_fract_x
_atom_site_fract_y
_atom_site_fract_z
Ca1 0.000 0.000 0.000
Pm1 0.124 0.124 0.624
Sm1 0.250 0.250 0.250
```

Results
DFT total energy ... -24.49 eV/f.u.
Offset from the most stable computed form ... 15.5 kJ/mol of atoms

---

# 5
This record from the Alexandria database describes crystalline CaPmSm2 at its relaxed geometry. The functional is GGA-PBE.

```
data_CaPmSm2
_symmetry_space_group_name_H-M 'P 4/m m m'
_symmetry_Int_Tables_number 123
_symmetry_space_group_name_Hall '-P 4 2'
_cell_length_a 5.187
_cell_length_b 5.187
_cell_length_c 5.207
_cell_angle_alpha 90.00
_cell_angle_beta 90.00
_cell_angle_gamma 90.00
loop_
_atom_site_label
_atom_site_fract_x
_atom_site_fract_y
_atom_site_fract_z
Ca1 0.000 0.000 0.000
Pm1 0.500 0.500 0.000
Sm1 0.000 0.500 0.500
```

Results
DFT total energy ... -15.81 eV/f.u.
Offset from the most stable computed form ... 4.8 kJ/mol of atoms

---

# 6
This record from the Alexandria database describes crystalline CaPm4Sm3 at its relaxed geometry. The functional is GGA-PBE.

```
data_CaPm4Sm3
_symmetry_space_group_name_H-M 'P m n a'
_symmetry_Int_Tables_number 53
_symmetry_space_group_name_Hall '-P 2ac 2'
_cell_length_a 7.332
_cell_length_b 10.315
_cell_length_c 7.331
_cell_angle_alpha 90.00
_cell_angle_beta 90.00
_cell_angle_gamma 90.00
loop_
_atom_site_label
_atom_site_fract_x
_atom_site_fract_y
_atom_site_fract_z
Ca1 0.000 0.000 0.000
Pm1 0.000 0.000 0.500
Pm2 0.000 0.500 0.500
Pm3 0.250 0.256 0.250
Sm1 0.000 0.500 0.000
Sm2 0.250 0.256 0.750
```

Results
DFT total energy ... -34.80 eV/f.u.

---

# 7
This record from the Alexandria database describes crystalline Ca2Pm2Sm at its relaxed geometry. The functional is GGA-PBE.

```
data_Ca2Pm2Sm
_symmetry_space_group_name_H-M 'C 1 2/m 1'
_symmetry_Int_Tables_number 12
_symmetry_space_group_name_Hall '-C 2y'
_cell_length_a 6.409
_cell_length_b 3.700
_cell_length_c 15.549
_cell_angle_alpha 90.00
_cell_angle_beta 90.01
_cell_angle_gamma 90.00
loop_
_atom_site_label
_atom_site_fract_x
_atom_site_fract_y
_atom_site_fract_z
Ca1 0.166 0.000 0.393
Pm1 0.166 0.000 0.813
Sm1 0.000 0.500 0.000
```

Results
DFT total energy ... -18.06 eV/f.u.
Offset from the most stable computed form ... 0.0 kJ/mol of atoms

---

# 8
This record from the Alexandria database describes crystalline CaPm4Sm6 at its relaxed geometry. The functional is GGA-PBE.

```
data_CaPm4Sm6
_symmetry_space_group_name_H-M 'I -4 2 m'
_symmetry_Int_Tables_number 121
_symmetry_space_group_name_Hall 'I -4 2'
_cell_length_a 7.922
_cell_length_b 7.922
_cell_length_c 13.154
_cell_angle_alpha 90.00
_cell_angle_beta 90.00
_cell_angle_gamma 90.00
loop_
_atom_site_label
_atom_site_fract_x
_atom_site_fract_y
_atom_site_fract_z
Ca1 0.000 0.000 0.000
Pm1 0.247 0.247 0.310
Sm1 0.000 0.500 0.000
Sm2 0.165 0.165 0.575
```

Results
DFT total energy ... -45.22 eV/f.u.

---

Please write out number 1 again, unchanged.
This record from the Alexandria database describes crystalline CaPm4Sm at its relaxed geometry. The functional is GGA-PBE.

```
data_CaPm4Sm
_symmetry_space_group_name_H-M 'I m m 2'
_symmetry_Int_Tables_number 44
_symmetry_space_group_name_Hall 'I 2 -2'
_cell_length_a 3.574
_cell_length_b 6.634
_cell_length_c 18.088
_cell_angle_alpha 90.00
_cell_angle_beta 90.00
_cell_angle_gamma 90.00
loop_
_atom_site_label
_atom_site_fract_x
_atom_site_fract_y
_atom_site_fract_z
Ca1 0.000 0.000 0.000
Pm1 0.000 0.000 0.509
Pm2 0.000 0.241 0.336
Pm3 0.000 0.500 0.172
Sm1 0.000 0.500 0.683
```

Results
DFT total energy ... -24.61 eV/f.u.
Offset from the most stable computed form ... 13.5 kJ/mol of atoms

---

- Among the records above, which one has the highest DFT total energy?
  CaPmSm2